Record 1
First-principles (PBE) data for a relaxed structure of Cd2As3, as listed in Alexandria via LeMat-Bulk.

Cell lengths 8.799, 6.929, 6.844 Å; angles 79.42, 50.72, 49.87 degrees
Atoms (fractional coordinates):
As: 0.801 0.022 0.774
Cd: 0.431 0.458 0.325
As: 0.476 0.847 0.449
Cd: 0.792 0.819 0.464
Cd: 0.925 0.464 0.819
As: 0.403 0.774 0.022
As: 0.228 0.449 0.847
As: 0.328 0.172 0.172
As: 0.078 0.922 0.922
Cd: 0.786 0.325 0.458

Summary:
The space-group type is Fdd2. The calculation puts the total magnetic moment at 0.0 μB/f.u. The energy above the lowest structure with this stoichiometry is 118 meV/atom. The calculation puts the formation energy at 0.1700 eV per atom. For the volume, the calculation gives 228.5 Å³ per cell. Its density of states at the Fermi level is 2.70 states/eV/cell.

Record 2
First-principles (PBE) data for a relaxed structure of ReBW3, as listed in Alexandria via LeMat-Bulk.

Cell lengths 3.110, 7.500, 6.817 Å; angles 117.95, 90.00, 90.00 degrees
Atoms (fractional coordinates):
W: 0.195 0.736 0.482
W: 0.695 0.686 0.072
W: 0.195 0.424 0.668
Re: 0.195 0.336 0.993
W: 0.695 0.385 0.321
W: 0.195 0.036 0.233
W: 0.695 0.998 0.886
Re: 0.695 0.085 0.561
B: 0.695 0.658 0.694
B: 0.195 0.764 0.860

Summary:
The space-group type is P2_1/m. The calculation puts the total magnetic moment at 0.0 μB/f.u. The energy above the lowest structure with this stoichiometry is 0 meV/atom. The calculation puts the formation energy at -0.0022 eV per atom. For the volume, the calculation gives 140.5 Å³ per cell. Its density of states at the Fermi level is 5.36 states/eV/cell.

Record 3
First-principles (PBE) data for a relaxed structure of La8Ga3IBr4, as listed in Alexandria via LeMat-Bulk.

Cell lengths 9.091, 8.757, 9.092 Å; angles 121.28, 120.00, 90.00 degrees
Atoms (fractional coordinates):
La: 0.278 0.261 0.019
Br: 0.500 0.000 0.500
La: 0.258 0.739 0.981
Ga: 0.000 0.500 0.500
Br: 0.000 0.000 0.500
La: 0.722 0.739 0.981
La: 0.258 0.275 0.516
Ga: 0.500 0.500 0.500
Br: 0.000 0.000 0.000
La: 0.742 0.261 0.019
Br: 0.500 0.000 0.000
I: 0.000 0.500 0.000
La: 0.742 0.725 0.484
La: 0.742 0.261 0.483
La: 0.258 0.739 0.517
Ga: 0.500 0.500 0.000

Summary:
The space-group type is R-3m. The calculation puts the total magnetic moment at 0.0 μB/f.u. The formation energy from raw total energies is -16.45 eV per formula unit. For the volume, the calculation gives 501.7 Å³ per cell. Its density of states at the Fermi level is 9.98 states/eV/cell.

Record 4
First-principles (PBE) data for a relaxed structure of In2Hg4I3, as listed in Alexandria via LeMat-Bulk.

Cell lengths 4.607, 7.336, 13.460 Å; angles 51.00, 90.10, 71.69 degrees
Atoms (fractional coordinates):
I: 0.574 0.852 0.338
Hg: 0.895 0.211 0.356
Hg: 0.105 0.789 0.644
In: 0.780 0.439 0.685
Hg: 0.258 0.482 0.935
Hg: 0.742 0.518 0.065
I: 0.426 0.148 0.662
I: 0.000 0.000 0.000
In: 0.220 0.561 0.315

Summary:
The space-group type is P-1. The calculation puts the total magnetic moment at 0.0 μB/f.u. The formation energy from raw total energies is -2.21 eV per formula unit. For the volume, the calculation gives 323.1 Å³ per cell. Its density of states at the Fermi level is 1.65 states/eV/cell.

Record 5
First-principles (PBE) data for a relaxed structure of KBaMnH6, as listed in Alexandria via LeMat-Bulk.

Cell lengths 5.352, 5.365, 5.887 Å; angles 89.99, 89.98, 60.02 degrees
Atoms (fractional coordinates):
Ba: 0.666 0.668 0.500
Mn: 0.333 0.333 0.500
H: 0.197 0.607 0.676
H: 0.608 0.195 0.325
K: 0.999 0.001 0.000
H: 0.195 0.197 0.675
H: 0.608 0.195 0.675
H: 0.197 0.607 0.324
H: 0.196 0.197 0.325

Summary:
The space-group type is Pm. The calculation puts the total magnetic moment at 2.0 μB/f.u. The raw total energy is -33.386 eV for the cell shown. For the volume, the calculation gives 146.4 Å³ per cell. Its density of states at the Fermi level is 4.10 states/eV/cell.

Record 6
First-principles (PBE) data for a relaxed structure of Ba2ZrBr, as listed in Alexandria via LeMat-Bulk.

Cell lengths 6.285, 3.709, 6.281 Å; angles 90.03, 90.00, 90.00 degrees
Atoms (fractional coordinates):
Ba: 0.500 0.166 0.375
Zr: 0.500 0.625 0.875
Ba: 0.000 0.084 0.875
Br: 0.000 0.624 0.375

Summary:
The space-group type is Pmm2. The calculation puts the total magnetic moment at 1.3 μB/f.u. The energy above the lowest structure with this stoichiometry is 140 meV/atom. The formation energy from raw total energies is -0.63 eV per formula unit. For the volume, the calculation gives 146.4 Å³ per cell. Its density of states at the Fermi level is 5.72 states/eV/cell.

Record 7
First-principles (PBE) data for a relaxed structure of Sc2Cd2Pd3, as listed in Alexandria via LeMat-Bulk.

Cell lengths 3.959, 5.244, 6.770 Å; angles 98.95, 90.00, 112.18 degrees
Atoms (fractional coordinates):
Sc: 0.805 0.610 0.832
Pd: 0.358 0.715 0.579
Cd: 0.079 0.159 0.707
Sc: 0.195 0.390 0.168
Cd: 0.921 0.841 0.293
Pd: 0.642 0.285 0.421
Pd: 0.500 0.000 0.000

Summary:
The space-group type is C2/m. The calculation puts the total magnetic moment at 0.0 μB/f.u. The energy above the lowest structure with this stoichiometry is 83 meV/atom. The calculation puts the formation energy at -0.5933 eV per atom. For the volume, the calculation gives 128.3 Å³ per cell. Its density of states at the Fermi level is 3.28 states/eV/cell.

Record 8
First-principles (PBE) data for a relaxed structure of Ce7TlHg3, as listed in Alexandria via LeMat-Bulk.

Cell lengths 5.806, 8.226, 8.226 Å; angles 83.66, 114.84, 114.84 degrees
Atoms (fractional coordinates):
Ce: 0.000 0.500 0.500
Hg: 0.500 0.000 0.000
Hg: 0.000 0.223 0.777
Ce: 0.213 0.192 0.192
Ce: 0.714 0.941 0.425
Ce: 0.714 0.425 0.941
Ce: 0.286 0.059 0.575
Ce: 0.787 0.808 0.808
Tl: 0.500 0.500 0.500
Ce: 0.286 0.575 0.059
Hg: 0.000 0.777 0.223

Summary:
The space-group type is C2/m. The calculation puts the total magnetic moment at 6.2 μB/f.u. The calculation puts the formation energy at -0.0568 eV per atom. For the volume, the calculation gives 322.5 Å³ per cell. Its density of states at the Fermi level is 37.17 states/eV/cell.

Record 9
First-principles (PBE) data for a relaxed structure of BaTc3H, as listed in Alexandria via LeMat-Bulk.

Cell lengths 5.302, 5.302, 5.302 Å; angles 90.00, 90.00, 90.00 degrees
Atoms (fractional coordinates):
H: 0.500 0.500 0.500
Tc: 0.000 0.500 0.000
Tc: 0.500 0.000 0.000
Tc: 0.000 0.000 0.500
Ba: 0.000 0.000 0.000

Summary:
The space-group type is Pm-3m. The calculation puts the total magnetic moment at 9.7 μB/f.u. The energy above the lowest structure with this stoichiometry is 2273 meV/atom. For the volume, the calculation gives 149.0 Å³ per cell. Its density of states at the Fermi level is 4.76 states/eV/cell.

Record 10
First-principles (PBE) data for a relaxed structure of V3PdPt6, as listed in Alexandria via LeMat-Bulk.

Cell lengths 2.745, 9.343, 12.238 Å; angles 90.00, 90.00, 90.00 degrees
Atoms (fractional coordinates):
Pt: 0.500 0.729 0.852
Pt: 0.000 0.073 0.289
V: 0.500 0.124 0.809
Pt: 0.500 0.573 0.211
Pt: 0.000 0.229 0.648
Pt: 0.500 0.772 0.548
V: 0.000 0.376 0.309
Pt: 0.000 0.728 0.048
V: 0.000 0.000 0.500
Pt: 0.000 0.927 0.711
Pt: 0.000 0.771 0.352
V: 0.500 0.876 0.191
V: 0.500 0.500 0.000
Pd: 0.500 0.500 0.500
Pt: 0.500 0.228 0.452
Pt: 0.500 0.271 0.148
Pt: 0.500 0.427 0.789
Pd: 0.000 0.000 0.000
V: 0.000 0.624 0.691
Pt: 0.000 0.272 0.952

Summary:
The space-group type is Pnnm. The calculation puts the total magnetic moment at 0.5 μB/f.u. The energy above the lowest structure with this stoichiometry is 0 meV/atom. The calculation puts the formation energy at -0.2515 eV per atom. For the volume, the calculation gives 313.8 Å³ per cell. Its density of states at the Fermi level is 16.34 states/eV/cell.

Record 11
First-principles (PBE) data for a relaxed structure of NbTc2Ge4, as listed in Alexandria via LeMat-Bulk.

Cell lengths 4.850, 4.850, 7.150 Å; angles 70.17, 70.17, 90.00 degrees
Atoms (fractional coordinates):
Ge: 0.000 0.500 0.000
Ge: 0.500 0.000 0.000
Ge: 0.791 0.791 0.418
Nb: 0.000 0.000 0.000
Tc: 0.596 0.596 0.808
Tc: 0.404 0.404 0.192
Ge: 0.209 0.209 0.582

Summary:
The space-group type is I4/mmm. The calculation puts the total magnetic moment at 0.0 μB/f.u. The calculation puts the formation energy at 0.6573 eV per atom. For the volume, the calculation gives 147.6 Å³ per cell. Its density of states at the Fermi level is 5.93 states/eV/cell.

Record 12
First-principles (PBE) data for a relaxed structure of K2BiAu, as listed in Alexandria via LeMat-Bulk.

Cell lengths 6.706, 6.820, 6.706 Å; angles 90.00, 107.64, 90.00 degrees
Atoms (fractional coordinates):
Au: 0.000 0.500 0.000
Bi: 0.277 0.250 0.277
K: 0.147 0.750 0.489
Bi: 0.722 0.750 0.722
K: 0.511 0.250 0.853
K: 0.853 0.250 0.511
K: 0.489 0.750 0.147
Au: 0.000 0.000 0.000

Summary:
The space-group type is Cmcm. The calculation puts the total magnetic moment at 0.0 μB/f.u. The calculation puts the formation energy at -0.4362 eV per atom. For the volume, the calculation gives 292.3 Å³ per cell. Its density of states at the Fermi level is 0.00 states/eV/cell.